The following is a DFT calculation (PBE) of a relaxed structure of Sr3PaSe6.

Unit cell a=7.498 b=8.106 c=10.468 alpha=90.00 beta=87.12 gamma=90.00
Atoms (fractional coordinates):
Sr 0.033 0.588 0.263
Sr 0.500 0.500 0.000
Se 0.667 0.213 0.586
Sr 0.000 0.000 0.500
Se 0.296 0.818 0.065
Se 0.796 0.682 0.565
Se 0.347 0.564 0.739
Sr 0.533 0.912 0.763
Se 0.847 0.936 0.239
Se 0.204 0.318 0.435
Se 0.833 0.713 0.914
Se 0.153 0.064 0.761
Sr 0.467 0.088 0.237
Sr 0.967 0.412 0.737
Pa 0.000 0.000 0.000
Se 0.704 0.182 0.935
Se 0.653 0.436 0.261
Se 0.333 0.787 0.414
Pa 0.500 0.500 0.500
Se 0.167 0.287 0.086

Magnetization in μB per cell: 0.0
Formation energy from raw total energies in eV/atom: -1.612

---

The following is a DFT calculation (PBE) of a relaxed structure of Sr2Pa2Se7.

Unit cell a=6.897 b=7.178 c=6.897 alpha=89.99 beta=97.41 gamma=90.01
Atoms (fractional coordinates):
Se 0.500 0.244 0.000
Sr 0.251 0.500 0.251
Se 0.000 0.244 0.500
Se 0.000 0.000 0.000
Pa 0.725 0.000 0.275
Se 0.000 0.756 0.500
Se 0.500 0.772 0.500
Sr 0.749 0.500 0.749
Pa 0.275 0.000 0.725
Se 0.500 0.756 0.000
Se 0.500 0.228 0.500

Magnetization in μB per cell: 0.3
Formation energy from raw total energies in eV/atom: -1.480